1.
Computed, not measured: an optimized crystal structure of AcIn2Ag at the PBE-GGA level of DFT.

Lattice parameters (Å, degrees): 3.7388 3.7388 7.7845 90.00 90.00 90.00
Last column: nearest neighbours and their distance in Å.
Fractional positions:
Ag (0.5000, 0.5000, 0.0000)  8 In 3.06
Ac (0.5000, 0.5000, 0.5000)  8 In 3.54, 4 Ac 3.74, 2 Ag 3.89
In (0.0000, 0.0000, 0.1974)  4 Ag 3.06, 1 In 3.07
In (0.0000, 0.0000, 0.8026)  4 Ag 3.06, 1 In 3.07

Summary:
For the energy of formation, the calculation gives -0.8 eV/f.u. As for the symmetry: No. 123. For the energy above the lowest structure with this stoichiometry, the calculation gives 16.9 kJ/mol of atoms. As for the total energy: -3.319 eV/atom.

2.
Computed, not measured: an optimized crystal structure of AcIn3Ag at the PBE-GGA level of DFT.

Lattice parameters (Å, degrees): 4.7289 4.7286 6.9536 70.12 70.12 90.04
Last column: nearest neighbours and their distance in Å.
Fractional positions:
In (0.7974, 0.6007, 0.1107)  1 Ag 2.69, 4 In 3.00
In (0.6456, 0.9485, 0.4145)  2 Ag 2.83, 2 In 3.00
In (0.1451, 0.4493, 0.4144)  2 Ag 2.83, 2 In 3.00
Ac (0.4015, 0.2049, 0.9027)  12 In 3.57-3.92, 4 Ag 3.63-3.64
Ag (0.0182, 0.8219, 0.6688)  5 In 2.69-2.83

Summary:
For the energy of formation, the calculation gives -1.8 eV/f.u. As for the symmetry: No. 107. For the energy above the lowest structure with this stoichiometry, the calculation gives 0.0 kJ/mol of atoms. As for the total energy: -3.394 eV/atom.

3.
Computed, not measured: an optimized crystal structure of AcIn3Ag2 at the PBE-GGA level of DFT.

Lattice parameters (Å, degrees): 6.2024 7.0994 7.0994 99.08 90.00 90.00
Last column: nearest neighbours and their distance in Å.
Fractional positions:
In (0.7500, 0.1188, 0.4388)  4 Ag 2.81-3.10, 1 In 2.97
In (0.7500, 0.0166, 0.0166)  4 Ag 2.96, 4 In 2.97-3.12
In (0.7500, 0.4388, 0.1188)  4 Ag 2.81-3.10, 1 In 2.97
In (0.2500, 0.8812, 0.5612)  4 Ag 2.81-3.10, 1 In 2.97
In (0.2500, 0.5612, 0.8812)  4 Ag 2.81-3.10, 1 In 2.97
In (0.2500, 0.9834, 0.9834)  4 Ag 2.96, 4 In 2.97-3.12
Ag (0.5000, 0.2335, 0.7665)  6 In 2.81-3.10, 2 Ag 3.10
Ag (0.5000, 0.7665, 0.2335)  6 In 2.81-3.10, 2 Ag 3.10
Ag (0.0000, 0.2335, 0.7665)  6 In 2.81-3.10, 2 Ag 3.10
Ag (0.0000, 0.7665, 0.2335)  6 In 2.81-3.10, 2 Ag 3.10
Ac (0.7500, 0.6528, 0.6528)  5 In 3.35-3.61, 4 Ag 3.56
Ac (0.2500, 0.3472, 0.3472)  5 In 3.35-3.61, 4 Ag 3.56

Summary:
For the energy of formation, the calculation gives -1.3 eV/f.u. As for the symmetry: No. 63. For the energy above the lowest structure with this stoichiometry, the calculation gives 6.8 kJ/mol of atoms. As for the total energy: -3.219 eV/atom.

4.
Computed, not measured: an optimized crystal structure of AcIn5Ag3 at the PBE-GGA level of DFT.

Lattice parameters (Å, degrees): 4.4513 7.5994 14.2724 90.00 90.00 107.03
Last column: nearest neighbours and their distance in Å.
Fractional positions:
Ac (0.8463, 0.6925, 0.7500)  6 Ag 3.50-3.65
Ac (0.1537, 0.3075, 0.2500)  6 Ag 3.50-3.65
In (0.0000, 0.0000, 0.5000)  4 Ag 2.92, 6 In 3.02-3.20
In (0.5598, 0.1196, 0.8508)  3 Ag 2.79-2.94, 1 In 2.88
In (0.5598, 0.1196, 0.6492)  3 Ag 2.79-2.94, 1 In 2.88
In (0.4402, 0.8804, 0.1492)  3 Ag 2.79-2.94, 1 In 2.88
In (0.4402, 0.8804, 0.3508)  3 Ag 2.79-2.94, 1 In 2.88
In (0.1984, 0.3967, 0.9374)  2 Ag 2.73-2.78, 1 In 3.02
In (0.0000, 0.0000, 0.0000)  4 Ag 2.92, 6 In 3.02-3.20
In (0.1984, 0.3967, 0.5626)  2 Ag 2.73-2.78, 1 In 3.02
In (0.8016, 0.6033, 0.4374)  2 Ag 2.73-2.78, 1 In 3.02
In (0.8016, 0.6033, 0.0626)  2 Ag 2.73-2.78, 1 In 3.02
Ag (0.6138, 0.2276, 0.0650)  4 In 2.73-2.92
Ag (0.6138, 0.2276, 0.4350)  4 In 2.73-2.92
Ag (0.3862, 0.7724, 0.9350)  4 In 2.73-2.92
Ag (0.8525, 0.7051, 0.2500)  6 In 2.78-2.94
Ag (0.3862, 0.7724, 0.5650)  4 In 2.73-2.92
Ag (0.1475, 0.2949, 0.7500)  6 In 2.78-2.94

Summary:
For the energy of formation, the calculation gives -0.9 eV/f.u. As for the symmetry: No. 63. As for the total energy: -3.032 eV/atom.

5.
Computed, not measured: an optimized crystal structure of Ac2In5Ag5 at the PBE-GGA level of DFT.

Lattice parameters (Å, degrees): 4.7564 6.0340 10.2754 90.00 90.00 90.00
Last column: nearest neighbours and their distance in Å.
Fractional positions:
Ag (0.5000, 0.0000, 0.0000)  4 In 2.88, 4 Ag 2.91
Ag (0.0000, 0.0000, 0.1634)  2 Ag 2.91, 4 In 2.92
Ag (0.0000, 0.5000, 0.6641)  6 In 2.92-2.99
Ag (0.0000, 0.5000, 0.3359)  6 In 2.92-2.99
Ag (0.0000, 0.0000, 0.8366)  2 Ag 2.91, 4 In 2.92
In (0.5000, 0.7498, 0.2390)  5 Ag 2.88-2.99, 3 In 3.01-3.08
In (0.5000, 0.5000, 0.5000)  4 Ag 2.92, 4 In 3.08
In (0.5000, 0.2502, 0.7610)  5 Ag 2.88-2.99, 3 In 3.01-3.08
In (0.5000, 0.2502, 0.2390)  5 Ag 2.88-2.99, 3 In 3.01-3.08
In (0.5000, 0.7498, 0.7610)  5 Ag 2.88-2.99, 3 In 3.01-3.08
Ac (0.0000, 0.5000, 0.0000)  10 Ag 3.45-3.84, 8 In 3.74
Ac (0.0000, 0.0000, 0.5000)  6 Ag 3.46, 4 In 3.84

Summary:
For the energy of formation, the calculation gives -3.4 eV/f.u. As for the symmetry: No. 47. For the energy above the lowest structure with this stoichiometry, the calculation gives 0.0 kJ/mol of atoms. As for the total energy: -3.298 eV/atom.

6.
Computed, not measured: an optimized crystal structure of AcIn2Ag at the PBE-GGA level of DFT.

Lattice parameters (Å, degrees): 5.3998 5.3998 5.3998 60.00 60.00 60.00
Last column: nearest neighbours and their distance in Å.
Fractional positions:
In (0.2500, 0.2500, 0.2500)  4 Ac 3.31, 4 Ag 3.31
In (0.7500, 0.7500, 0.7500)  4 Ac 3.31, 4 Ag 3.31
Ag (0.5000, 0.5000, 0.5000)  8 In 3.31
Ac (0.0000, 0.0000, 0.0000)  8 In 3.31

Summary:
For the energy of formation, the calculation gives -0.9 eV/f.u. As for the symmetry: No. 225. For the energy above the lowest structure with this stoichiometry, the calculation gives 16.1 kJ/mol of atoms. As for the total energy: -3.327 eV/atom.